# GGA-PBE Li2PmHoO4, relaxed
data_Li2PmHoO4
_chemical_formula_sum 'Li2 Pm1 Ho1 O4'
_cell_length_a 5.467
_cell_length_b 3.427
_cell_length_c 5.959
_cell_angle_alpha 90.00
_cell_angle_beta 111.59
_cell_angle_gamma 90.00
_space_group_name_H-M_alt 'P 1 2/m 1'
_space_group_IT_number 10
_space_group_name_Hall '-P 2y'
loop_
_atom_site_label
_atom_site_fract_x
_atom_site_fract_y
_atom_site_fract_z
Li1 0.000 0.000 0.000
Li2 0.000 0.500 0.500
Pm1 0.500 0.000 0.500
Ho1 0.500 0.500 0.000
O1 0.262 0.500 0.243
O2 0.263 0.000 0.762
# Total DFT energy (no corrections), eV/atom: -6.889
# E_form (uncorrected), eV per atom: -2.766